Material: NaHoIn
Method: DFT, GGA-PBE
State: relaxed

a = 5.284 Å, b = 5.284 Å, c = 3.335 Å
α = 90.00°, β = 90.00°, γ = 120.00°
Positions (direct):
Na  0.000  0.000  0.000
Ho  0.333  0.667  0.498
In  0.667  0.333  0.996

Properties
Total magnetic moment = 0.0 μB per formula unit
E_form = -79 meV per atom
E above lowest polymorph = 0 meV/atom
N(E_F) = 3.294 states/eV/cell
Space-group type = P3m1 (156)